[1]
# PrDyHo2Er5

A relaxed PrDyHo2Er5 crystal (GGA-PBE, the Alexandria database).

Structure (POSCAR):
```
PrDyHo2Er5
1.0
2.7886 -9.8556 0.0000
2.7886 9.8556 0.0000
0.0000 0.0000 10.5019
Pr Dy Ho Er
2 2 4 10
Cartesian
2.7886 8.2141 5.2509 Pr
2.7886 -8.2141 0.0000 Pr
2.7886 3.9454 0.6422 Dy
2.7886 -3.9454 5.8932 Dy
2.7886 2.2300 3.8642 Ho
2.7886 2.1923 8.2217 Ho
2.7886 -2.1923 2.9707 Ho
2.7886 -2.2300 9.1152 Ho
2.7886 9.4292 8.2438 Er
2.7886 7.6337 0.7471 Er
2.7886 5.8812 7.9712 Er
2.7886 5.5374 3.7952 Er
2.7886 0.3495 0.7769 Er
2.7886 -0.3495 6.0279 Er
2.7886 -5.5374 9.0462 Er
2.7886 -5.8812 2.7202 Er
2.7886 -7.6337 5.9980 Er
2.7886 -9.4292 2.9929 Er
```

## Properties
SG   No. 36
Formation enthalpy at 0 K   1.5 eV per formula unit
Energy   -79.7 eV for the cell shown

[2]
# PrDy2HoEr5

A relaxed PrDy2HoEr5 crystal (GGA-PBE, the Alexandria database).

Structure (POSCAR):
```
PrDy2HoEr5
1.0
-4.4623 4.4623 7.2674
4.4623 -4.4623 7.2674
4.4623 4.4623 -7.2674
Pr Dy Ho Er
2 4 2 10
Cartesian
0.0000 0.0000 3.6337 Pr
0.0000 0.0000 10.9011 Pr
5.4639 1.0016 0.0000 Dy
1.0016 3.4607 0.0000 Dy
3.4607 1.0016 7.2674 Dy
-1.0016 3.4607 7.2674 Dy
4.4623 0.0000 3.6337 Ho
0.0000 4.4623 3.6337 Ho
0.0000 0.0000 0.0000 Er
2.6313 1.8310 -1.9110 Er
2.6313 -1.8310 5.3564 Er
2.6313 1.8310 1.9110 Er
2.6313 -1.8310 9.1784 Er
0.0000 0.0000 7.2674 Er
1.8310 6.2933 -1.9110 Er
1.8310 2.6313 5.3564 Er
1.8310 6.2933 1.9110 Er
1.8310 2.6313 9.1784 Er
```

## Properties
SG   No. 140
Formation enthalpy at 0 K   2.6 eV per formula unit
Energy   -77.6 eV for the cell shown

[3]
# Pr2DyHo2Er2

A relaxed Pr2DyHo2Er2 crystal (GGA-PBE, the Alexandria database).

Structure (POSCAR):
```
Pr2DyHo2Er2
1.0
11.7266 0.0000 0.0000
0.0000 3.5156 0.0000
-3.8850 0.0000 11.1777
Pr Dy Ho Er
4 2 4 4
Cartesian
1.6760 0.0000 0.9532 Pr
0.3024 1.7578 10.2245 Pr
7.5393 1.7578 0.9532 Pr
6.1657 0.0000 10.2245 Pr
-1.9425 1.7578 5.5889 Dy
3.9208 0.0000 5.5889 Dy
-2.4036 0.0000 8.5825 Ho
4.3819 1.7578 2.5953 Ho
3.4597 1.7578 8.5825 Ho
10.2453 0.0000 2.5953 Ho
1.2387 1.7578 4.0851 Er
0.7396 0.0000 7.0927 Er
7.1021 0.0000 4.0851 Er
6.6029 1.7578 7.0927 Er
```

## Properties
SG   No. 12
Formation enthalpy at 0 K   0.6 eV per formula unit
Energy   -63.7 eV for the cell shown

[4]
# Dy3Ho6Er2Pu

A relaxed Dy3Ho6Er2Pu crystal (GGA-PBE, the Alexandria database).

Structure (POSCAR):
```
Dy3Ho6Er2Pu
1.0
3.0421 -5.2699 0.0000
3.0421 5.2699 0.0000
-2.0316 0.0000 11.4409
Dy Ho Er Pu
3 6 2 1
Cartesian
0.0000 0.0000 0.0000 Dy
3.0421 1.7628 0.0000 Dy
3.0421 -1.7628 0.0000 Dy
1.0248 1.7374 2.8892 Ho
0.0184 0.0000 8.5522 Ho
1.0248 -1.7374 2.8892 Ho
3.0279 1.7374 8.5516 Ho
4.0343 0.0000 2.8887 Ho
3.0279 -1.7374 8.5516 Ho
2.0263 3.5141 5.7204 Er
2.0263 -3.5141 5.7204 Er
2.0263 0.0000 5.7204 Pu
```

## Properties
SG   No. 12
Formation enthalpy at 0 K   0.5 eV per formula unit
Energy   -64.2 eV for the cell shown

What is the formation enthalpy at 0 K in the first record?
1.5 eV per formula unit

Number 2 is which compound?
PrDy2HoEr5

What is the formula in the third record?
Pr2DyHo2Er2

What is the formula in the third record?
Pr2DyHo2Er2